Density functional theory data (PBE-GGA) for a relaxed MnGa3Sn crystal.

The structure in POSCAR format:
```
MnGa3Sn
1.0
4.6340 0.0000 0.0000
0.0000 4.6340 0.0000
0.0000 0.0000 4.6340
Mn Ga Sn
1 3 1
direct
0.0000 0.0000 0.0000
0.0000 0.0000 0.5000
0.0000 0.5000 0.0000
0.5000 0.0000 0.0000
0.5000 0.5000 0.5000
```

Calculated values
Formation energy = 0.21 eV/atom
Crystal system = cubic
ρ = 6.39 g/cm³
Magnetic moment = 0.0 Bohr magnetons per cell
SG = No. 221

Density functional theory data (PBE-GGA) for a relaxed MnGa2Sn2 crystal.

The structure in POSCAR format:
```
MnGa2Sn2
1.0
7.3382 0.0000 0.0000
0.0000 7.3382 0.0000
0.0000 0.0000 4.1955
Mn Ga Sn
2 4 4
direct
0.0000 0.0000 0.0000
0.5000 0.5000 0.0000
0.1478 0.3522 0.5000
0.3522 0.8522 0.5000
0.6478 0.1478 0.5000
0.8522 0.6478 0.5000
0.1552 0.6552 0.0000
0.3448 0.1552 0.0000
0.6552 0.8448 0.0000
0.8448 0.3448 0.0000
```

Calculated values
Formation energy = 0.26 eV/atom
Crystal system = tetragonal
ρ = 6.35 g/cm³
Magnetic moment = 7.4 Bohr magnetons per cell
SG = No. 127
Polymorph energy (0 for the lowest one) = 0.076 eV/atom

Density functional theory data (PBE-GGA) for a relaxed MnGaSn crystal.

The structure in POSCAR format:
```
MnGaSn
1.0
0.0000 2.9409 6.2215
2.9223 0.0000 6.2215
2.9223 2.9409 0.0000
Mn Ga Sn
2 2 2
direct
0.0000 0.0000 0.5000
0.5000 0.5000 0.0000
0.1292 0.1300 0.8706
0.8708 0.8700 0.1294
0.3492 0.3492 0.6508
0.6508 0.6508 0.3492
```

Calculated values
Formation energy = -0.03 eV/atom
Crystal system = orthorhombic
ρ = 7.56 g/cm³
Magnetic moment = 4.7 Bohr magnetons per cell
SG = No. 69
Polymorph energy (0 for the lowest one) = 0.000 eV/atom

Question: Which value of magnetic moment does entry 2 give?
Answer: 7.4 Bohr magnetons per cell

Question: Which of these has the lowest ρ?
Answer: MnGa2Sn2

Question: Which of these has the lowest ρ?
Answer: MnGa2Sn2